VASP calculation (PBE) on a geometry-optimized NdHoCuSi3 structure.

Density: 6578 kg/m3
Space-group type: Fmmm (69)
Uncorrected energy: -67.448 eV for the cell shown

Cell lengths 8.0891, 8.0339, 5.7598 Å; angles 69.58, 68.56, 41.86 degrees
Positions (direct):
Si 0.1699 0.1699 0.8301
Si 0.1695 0.6591 0.8305
Si 0.3409 0.8305 0.6591
Si 0.8305 0.3409 0.1695
Si 0.8301 0.8301 0.1699
Si 0.6591 0.1695 0.3409
Nd 0.2439 0.7561 0.2439
Nd 0.7561 0.2439 0.7561
Cu 0.3322 0.3322 0.6678
Cu 0.6678 0.6678 0.3322
Ho 0.7500 0.7500 0.7500
Ho 0.2500 0.2500 0.2500

=====

VASP calculation (PBE) on a geometry-optimized NdHoCu2Si2 structure.

Density: 7025 kg/m3
Space-group type: P-3m1 (164)
Uncorrected energy: -31.519 eV for the cell shown

Cell lengths 4.1676, 4.1676, 7.7387 Å; angles 90.00, 90.00, 120.00 degrees
Positions (direct):
Cu 0.6667 0.3333 0.7349
Cu 0.3333 0.6667 0.2651
Nd 0.0000 0.0000 0.0000
Ho 0.0000 0.0000 0.5000
Si 0.6667 0.3333 0.2618
Si 0.3333 0.6667 0.7382

=====

Asked for volume across the records above, the calculation gives 19.2; 19.4 Å³ per atom in order.
Asked for magnetization across the records above, the calculation gives 0.01; 0.01 μB per cell in order.